No. 1
An optimized crystal structure of Pm4PrLu, computed with PBE.

Cell: 6.676 6.676 6.676 Å, 60.00 60.00 60.00°
Sites, in units of the cell vectors:
Pm (0.376, 0.376, 0.376)
Pm (0.376, 0.376, 0.873)
Pm (0.376, 0.873, 0.376)
Pm (0.873, 0.376, 0.376)
Pr (0.000, 0.000, 0.000)
Lu (0.750, 0.750, 0.750)

Output
Its crystal system is cubic. The value obtained for the energy relative to the elements is 0.257 eV per atom. As for the space group: No. 216.



No. 2
An optimized crystal structure of MnSiHg2Ru, computed with PBE.

Cell: 5.062 5.062 4.298 Å, 90.00 90.00 90.00°
Sites, in units of the cell vectors:
Mn (0.000, 0.000, 0.000)
Si (0.500, 0.500, 0.500)
Hg (0.000, 0.500, 0.000)
Hg (0.500, 0.000, 0.000)
Ru (0.000, 0.000, 0.500)

Output
Its crystal system is tetragonal. The calculation puts the uncorrected formation energy at 1.171 eV per atom. As for the space group: No. 123.